(1)
Here is Pu3H2S3 after structural relaxation from the Alexandria database. Energies are from GGA-PBE.

Computed properties:
Total magnetic moment (μB/f.u.): 16.000
E (eV/atom): -8.8906

a = 8.0176 Å, b = 8.0176 Å, c = 5.4938 Å
α = 90.00°, β = 90.00°, γ = 120.00°
Space group P6_3/mcm (No. 193)
One atom of each set of equivalent atoms:
Pu  0.0000  0.3679  0.2500 x6
H  0.3333  0.6667  0.0000 x4
S  0.0000  0.2903  0.7500 x6

(2)
Here is Pu2H4S after structural relaxation from the Alexandria database. Energies are from GGA-PBE.

Computed properties:
Total magnetic moment (μB/f.u.): 10.000
E (eV/atom): -7.3499

a = 3.7681 Å, b = 3.7681 Å, c = 20.6345 Å
α = 90.00°, β = 90.00°, γ = 120.00°
Space group R-3m (No. 166, hexagonal axes)
One atom of each set of equivalent atoms:
Pu  0.0000  0.0000  0.2458 x6
H  0.0000  0.0000  0.1353 x6
H  0.0000  0.0000  0.4340 x6
S  0.0000  0.0000  0.0000 x3

(3)
Here is PuHS2 after structural relaxation from the Alexandria database. Energies are from GGA-PBE.

Computed properties:
Total magnetic moment (μB/f.u.): 5.000
E (eV/atom): -7.5104

a = 6.7531 Å, b = 4.1661 Å, c = 7.2956 Å
α = 90.00°, β = 111.00°, γ = 90.00°
Space group P2_1/m (No. 11)
One atom of each set of equivalent atoms:
Pu  0.0022  0.2500  0.2356 x2
H  0.4387  0.2500  0.7264 x2
S  0.2150  0.7500  0.1558 x2
S  0.2175  0.2500  0.6509 x2

Values for theoretical density, g cm⁻³, ordered as above
9.02; 10.29; 5.36
Values for density of states at the Fermi level, states/eV/atom, ordered as above
2.81; 2.17; 1.86